Material: ScSbHI2
Method: DFT, PBE
State: optimized geometry

Properties
Relative energy among the computed polymorphs = 0.0 kJ per mole of atoms
Calculated total energy = -16.35 eV/cell

Cell lengths 5.791, 5.791, 5.725 Å; angles 90.00, 90.00, 90.00 degrees
Last column: magnetic moment on the atom in μB.
Sites, in units of the cell vectors:
Sc: 0.000 0.000 0.000  0.03
I: 0.500 0.000 0.000  0.07
I: 0.000 0.500 0.000  0.07
Sb: 0.000 0.000 0.500  0.49
H: 0.500 0.500 0.500  0.38

---

Material: SiSb2HI
Method: DFT, PBE
State: optimized geometry

Properties
Relative energy among the computed polymorphs = 27.2 kJ per mole of atoms
Calculated total energy = -13.67 eV/cell

Cell lengths 5.251, 5.251, 5.884 Å; angles 90.00, 90.00, 90.00 degrees
Last column: magnetic moment on the atom in μB.
Sites, in units of the cell vectors:
Sb: 0.000 0.500 0.000  -0.05
Sb: 0.500 0.000 0.000  -0.05
I: 0.000 0.000 0.500  -0.02
H: 0.500 0.500 0.500  0.36
Si: 0.000 0.000 0.000  0.00

---

Material: SiSbHI2
Method: DFT, PBE
State: optimized geometry

Properties
Relative energy among the computed polymorphs = 11.9 kJ per mole of atoms
Calculated total energy = -12.09 eV/cell

Cell lengths 5.681, 5.681, 5.319 Å; angles 90.00, 90.00, 90.00 degrees
Last column: magnetic moment on the atom in μB.
Sites, in units of the cell vectors:
H: 0.500 0.500 0.500  0.37
I: 0.000 0.500 0.000  0.05
I: 0.500 0.000 0.000  0.05
Si: 0.000 0.000 0.000  -0.01
Sb: 0.000 0.000 0.500  0.24

---

Material: SiSbHI2
Method: DFT, PBE
State: optimized geometry

Properties
Relative energy among the computed polymorphs = 0.0 kJ per mole of atoms
Calculated total energy = -12.70 eV/cell

Cell lengths 5.580, 5.580, 3.913 Å; angles 90.00, 90.00, 90.00 degrees
Sites, in units of the cell vectors:
I: 0.500 0.000 0.000
I: 0.000 0.500 0.000
Si: 0.500 0.500 0.500
H: 0.000 0.000 0.000
Sb: 0.000 0.000 0.500

---

Material: SiSb2HI
Method: DFT, PBE
State: optimized geometry

Properties
Relative energy among the computed polymorphs = 0.0 kJ per mole of atoms
Calculated total energy = -15.08 eV/cell

Cell lengths 4.422, 4.422, 5.938 Å; angles 90.00, 90.00, 90.00 degrees
Sites, in units of the cell vectors:
Sb: 0.000 0.500 0.000
Sb: 0.500 0.000 0.000
I: 0.000 0.000 0.500
H: 0.000 0.000 0.000
Si: 0.500 0.500 0.500

---

Material: SrSbHI2
Method: DFT, PBE
State: optimized geometry

Properties
Relative energy among the computed polymorphs = 0.0 kJ per mole of atoms
Calculated total energy = -14.01 eV/cell

Cell lengths 5.814, 5.814, 4.148 Å; angles 90.00, 90.00, 90.00 degrees
Sites, in units of the cell vectors:
H: 0.000 0.000 0.000
I: 0.500 0.000 0.000
I: 0.000 0.500 0.000
Sr: 0.500 0.500 0.500
Sb: 0.000 0.000 0.500

---

Material: SrSbHI2
Method: DFT, PBE
State: optimized geometry

Properties
Relative energy among the computed polymorphs = 45.8 kJ per mole of atoms
Calculated total energy = -11.64 eV/cell

Cell lengths 6.378, 6.378, 7.277 Å; angles 90.00, 90.00, 90.00 degrees
Last column: magnetic moment on the atom in μB.
Sites, in units of the cell vectors:
I: 0.500 0.000 0.000  0.06
I: 0.000 0.500 0.000  0.06
H: 0.500 0.500 0.500  0.38
Sr: 0.000 0.000 0.000  0.03
Sb: 0.000 0.000 0.500  1.02

---

Material: TcSb2HI
Method: DFT, PBE
State: optimized geometry

Properties
Relative energy among the computed polymorphs = 0.0 kJ per mole of atoms
Calculated total energy = -19.39 eV/cell

Cell lengths 5.066, 5.066, 6.008 Å; angles 90.00, 90.00, 90.00 degrees
Last column: magnetic moment on the atom in μB.
Sites, in units of the cell vectors:
Tc: 0.000 0.000 0.000  -0.19
Sb: 0.500 0.000 0.000  -0.02
Sb: 0.000 0.500 0.000  -0.02
I: 0.000 0.000 0.500  0.05
H: 0.500 0.500 0.500  0.35

---

> Look up the calculated total energy of the fifth one.

-15.08 eV/cell

---

> Among the records above, which one has the highest calculated total energy?

number 7